A plane-wave DFT calculation with PBE-GGA was carried out for a geometry-optimized HfMnCoAu structure.

Cell: 4.507 4.507 4.507 Å, 60.00 60.00 60.00°
Each line ends with the local moment (μB).
Fractional positions:
1 Co 0.500 0.500 0.500  1.25
2 Hf 0.750 0.750 0.750  -0.14
3 Au 0.000 0.000 0.000  0.04
4 Mn 0.250 0.250 0.250  3.66

Output
- Energy of formation: -0.1548 eV per atom
- Final energy: -7.531 eV per atom
- Symmetry: No. 216